DFT (GGA-PBEsol) results for an optimized crystal structure of ScTaNi6.

Total DFT energy (no corrections): -7.43 eV/atom
Formation enthalpy at 0 K: -0.4207 eV per atom
Total magnetization: 0.0 Bohr magnetons per cell

Structure (CIF):
```
data_ScTaNi6
_symmetry_space_group_name_H-M 'C m m m'
_symmetry_Int_Tables_number 65
_symmetry_space_group_name_Hall '-C 2 2'
_cell_length_a 7.2703
_cell_length_b 10.2690
_cell_length_c 10.2869
_cell_angle_alpha 90.00
_cell_angle_beta 90.00
_cell_angle_gamma 90.00
loop_
_atom_site_label
_atom_site_fract_x
_atom_site_fract_y
_atom_site_fract_z
_atom_site_occupancy
Sc1 0.0000 0.0000 0.2478 1
Sc2 0.0000 0.2492 0.0000 1
Ta1 0.0000 0.2491 0.5000 1
Ta2 0.0000 0.5000 0.2459 1
Ni1 0.0000 0.0000 0.0000 1
Ni2 0.0000 0.0000 0.5000 1
Ni3 0.0000 0.2519 0.2547 1
Ni4 0.0000 0.5000 0.0000 1
Ni5 0.0000 0.5000 0.5000 1
Ni6 0.2464 0.3755 0.1277 1
Ni7 0.2467 0.3744 0.3778 1
```